A plane-wave DFT calculation with GGA-PBE was carried out for NiHBr3 after structural relaxation.

Values from the calculation:
- E (eV per atom) = -3.05
- N(E_F) (states/eV/f.u.) = 1.58
- M_tot (μB/cell) = 0.00

abc: 3.468 8.288 11.289
angles: 70.44 83.49 87.29
Positions (direct):
Ni  0.198  0.399  0.320
Ni  0.802  0.601  0.680
H  0.437  0.067  0.830
H  0.563  0.933  0.170
Br  0.211  0.034  0.171
Br  0.267  0.463  0.817
Br  0.336  0.738  0.544
Br  0.664  0.262  0.456
Br  0.733  0.537  0.183
Br  0.789  0.966  0.829